[1]
## VInTeMo2 (PBE)

Data for crystalline VInTeMo2 at its relaxed geometry.

The total energy comes out at -5.862 eV per atom.

abc: 4.915 4.915 4.752
angles: 90.00 90.00 90.00
Space group P4/mmm (No. 123)
Inequivalent atoms, fractional coordinates:
V: 0.000 0.000 0.000 x1
In: 0.500 0.500 0.000 x1
Te: 0.000 0.000 0.500 x1
Mo: 0.000 0.500 0.500 x2



[2]
## RbCN3 (PBE)

Data for crystalline RbCN3 at its relaxed geometry.

The total energy comes out at -4.160 eV per atom.

abc: 3.730 3.730 3.730
angles: 90.00 90.00 90.00
Space group Pm-3m (No. 221)
Inequivalent atoms, fractional coordinates:
Rb: 0.000 0.000 0.000 x1
C: 0.500 0.500 0.500 x1
N: 0.000 0.500 0.500 x3



[3]
## ErGaGe (PBE)

Data for crystalline ErGaGe at its relaxed geometry.

The formation enthalpy at 0 K is -341 meV per atom. The total energy comes out at -4.410 eV per atom.

abc: 7.5446 7.5446 4.0603
angles: 90.00 90.00 120.00
Space group P-62m (No. 189)
Inequivalent atoms, fractional coordinates:
Er: 0.0000 0.2740 0.0000 x3
Ga: 0.0000 0.5870 0.5000 x3
Ge: 0.0000 0.0000 0.5000 x1
Ge: 0.3333 0.6667 0.0000 x2



Calculated magnetic moment (μB/f.u.), listed in the same order as above: 0.00; 1.81; 0.00